Record 1
14
Lattice="8.292 0.000 0.000 0.000 4.257 2.637 0.000 -4.257 2.637" Properties=species:S:1:pos:R:3 comment="PBE CdGa2O4, optimized geometry" volume_a3_per_cell=186.2 total_energy_ev_per_atom=-5.375 pbc="T T T"
Cd 2.073 -4.190 2.637
Cd 6.219 4.190 2.637
Ga 0.429 1.554 2.817
Ga 3.717 1.554 2.817
Ga 4.575 -1.554 2.817
Ga 7.863 -1.554 2.817
O 0.000 0.000 3.749
O 0.581 1.396 1.004
O 2.073 2.163 3.474
O 3.565 1.396 1.004
O 4.146 0.000 3.749
O 4.727 -1.396 1.004
O 6.219 -2.163 3.474
O 7.711 -1.396 1.004

---

Record 2
20
Lattice="5.503 0.000 0.000 0.000 7.581 0.000 0.000 0.000 5.277" Properties=species:S:1:pos:R:3 comment="PBE CdGaO3, optimized geometry" volume_a3_per_cell=220.2 total_energy_ev_per_atom=-4.856 pbc="T T T"
Cd 0.293 1.895 0.087
Cd 2.458 5.686 2.726
Cd 3.045 1.895 2.552
Cd 5.209 5.686 5.191
Ga 0.000 0.000 2.639
Ga 0.000 3.791 2.639
Ga 2.751 0.000 0.000
Ga 2.751 3.791 0.000
O 0.250 5.686 2.063
O 1.132 4.226 4.215
O 1.132 7.147 4.215
O 1.620 0.435 1.576
O 1.620 3.356 1.576
O 2.502 1.895 4.702
O 3.001 5.686 0.576
O 3.883 4.226 3.701
O 3.883 7.147 3.701
O 4.371 0.435 1.063
O 4.371 3.356 1.063
O 5.253 1.895 3.215

---

Record 3
9
Lattice="3.725 0.000 0.000 0.000 3.725 0.000 0.000 0.000 8.823" Properties=species:S:1:pos:R:3 comment="PBE Cd2Ga2O5, optimized geometry" volume_a3_per_cell=122.4 e_above_lowest_polymorph_mev_per_atom=631 pbc="T T T"
Cd 0.000 0.000 2.193
Cd 0.000 0.000 6.631
Ga 1.863 1.863 0.000
Ga 1.863 1.863 4.412
O 0.000 0.000 0.000
O 0.000 1.863 3.278
O 0.000 1.863 5.545
O 1.863 0.000 3.278
O 1.863 0.000 5.545

---

Please write out number 2 again, unchanged.
20
Lattice="5.503 0.000 0.000 0.000 7.581 0.000 0.000 0.000 5.277" Properties=species:S:1:pos:R:3 comment="PBE CdGaO3, optimized geometry" volume_a3_per_cell=220.2 total_energy_ev_per_atom=-4.856 pbc="T T T"
Cd 0.293 1.895 0.087
Cd 2.458 5.686 2.726
Cd 3.045 1.895 2.552
Cd 5.209 5.686 5.191
Ga 0.000 0.000 2.639
Ga 0.000 3.791 2.639
Ga 2.751 0.000 0.000
Ga 2.751 3.791 0.000
O 0.250 5.686 2.063
O 1.132 4.226 4.215
O 1.132 7.147 4.215
O 1.620 0.435 1.576
O 1.620 3.356 1.576
O 2.502 1.895 4.702
O 3.001 5.686 0.576
O 3.883 4.226 3.701
O 3.883 7.147 3.701
O 4.371 0.435 1.063
O 4.371 3.356 1.063
O 5.253 1.895 3.215